First-principles (PBE-GGA) data for a geometry-optimized Ba4U3ZnO12 structure, as listed in the Alexandria database.

Cell lengths 7.5681, 7.5681, 7.5681 Å; angles 109.47, 109.47, 109.47 degrees
Closest atoms and distances in Å follow each position.
Fractional coordinates of all 20 atoms:
Ba: 0.5000 0.5000 0.5000  12 O 3.09
Ba: 0.0000 0.0000 0.5000  12 O 3.09
Ba: 0.5000 0.0000 0.0000  12 O 3.09
Ba: 0.0000 0.5000 0.0000  12 O 3.09
U: 0.5000 0.0000 0.5000  6 O 2.12-2.18
U: 0.5000 0.5000 0.0000  6 O 2.12-2.18
U: 0.0000 0.5000 0.5000  6 O 2.12-2.18
Zn: 0.0000 0.0000 0.0000  6 O 2.24
O: 0.2500 0.5000 0.7500  2 U 2.18
O: 0.7431 0.0000 0.7431  1 U 2.12, 1 Zn 2.24
O: 0.2569 0.0000 0.2569  1 U 2.12, 1 Zn 2.24
O: 0.7500 0.5000 0.2500  2 U 2.18
O: 0.7431 0.7431 0.0000  1 U 2.12, 1 Zn 2.24
O: 0.2569 0.2569 0.0000  1 U 2.12, 1 Zn 2.24
O: 0.7500 0.2500 0.5000  2 U 2.18
O: 0.2500 0.7500 0.5000  2 U 2.18
O: 0.5000 0.2500 0.7500  2 U 2.18
O: 0.0000 0.7431 0.7431  1 U 2.12, 1 Zn 2.24
O: 0.5000 0.7500 0.2500  2 U 2.18
O: 0.0000 0.2569 0.2569  1 U 2.12, 1 Zn 2.24

Computed properties:
SG: Im-3m, No. 229
Calculated volume: 334 Å³ per cell
Uncorrected energy: -160.811 eV/cell